VASP calculation (PBE) on crystalline DyTmHf at its relaxed geometry.

Lattice parameters (Å, degrees): 3.369 4.697 10.349 90.00 90.00 90.00
Atoms (fractional coordinates):
Dy1 0.250 0.250 0.091
Dy2 0.750 0.750 0.909
Tm1 0.250 0.250 0.731
Tm2 0.750 0.750 0.269
Hf1 0.250 0.250 0.430
Hf2 0.750 0.750 0.570

Crystal system = orthorhombic
Polymorph energy (0 for the lowest one) = 5 meV/atom
E_tot = -6.229 eV per atom
M_tot = 0.0 μB/f.u.
N(E_F) = 8.8 states/eV/cell
Symmetry = Pmmn (59)
Energy of formation = 0.114 eV/atom